# 1
Crystalline Cd5Cu3Sn12 at its relaxed geometry, computed with PBE-GGA.

Results
symmetry = Ia-3d (230)
total DFT energy (no corrections) = -3.084 eV per atom
formation energy = 161 meV per atom
total moment = 0.0 μB per cell

Structure (extended XYZ):
```
80
Lattice="-4.189 6.394 -12.180 -1.029 -14.267 -1.476 -8.425 4.319 10.824" Properties=species:S:1:pos:R:3 pbc="T T T"
Sn -4.580 -11.150 1.232
Sn -10.944 -2.921 -3.821
Cd -6.821 -1.777 -1.416
Cd -2.881 -0.629 -3.584
Sn -7.220 -6.581 -3.950
Cd 0.000 0.000 0.000
Sn -7.421 0.201 0.678
Sn -2.936 -6.584 -5.585
Cd -10.642 6.791 0.151
Sn -2.976 -3.483 -3.943
Cu -9.322 1.886 -0.048
Sn -5.876 -1.264 -10.270
Cd -2.609 -3.936 -6.828
Cu -4.335 1.435 0.829
Cd -8.018 3.854 3.366
Cd -6.307 5.357 -0.678
Cd -2.094 3.197 -6.090
Cd -3.001 -10.345 -2.984
Sn -4.668 0.228 -1.497
Sn -8.474 -0.271 5.292
Cu -6.035 2.049 -3.923
Sn -7.215 -5.289 6.214
Sn -10.706 3.030 2.752
Sn -10.974 3.946 -0.123
Cd -5.625 -7.407 -6.198
Cu -8.153 1.012 7.579
Cu -9.308 -4.989 -3.662
Sn -8.568 4.299 7.884
Sn -10.667 -0.071 1.111
Cd -6.699 -1.052 3.166
Sn -7.767 -2.290 7.437
Sn -6.138 -7.298 3.547
Sn -11.417 8.177 -2.249
Sn -8.887 -7.570 2.304
Cd -4.727 -4.974 4.674
Sn -7.505 3.744 -6.379
Cd -6.944 -2.502 -5.999
Sn -7.085 2.660 5.813
Sn -6.558 -6.214 -8.645
Sn -2.669 -7.500 -2.710
Sn -9.777 -6.787 5.607
Cd -9.188 4.727 -4.262
Sn -5.415 -7.019 -0.973
Sn -6.428 1.735 -9.047
Cu -4.581 -0.015 -8.336
Sn -6.423 3.027 1.117
Sn -5.075 -7.852 -10.717
Sn -6.221 -3.755 -3.511
Sn -6.738 0.364 -5.832
Cd -10.627 -0.083 -3.463
Cd -10.762 -2.925 0.751
Cu -7.743 -8.445 5.303
Sn -7.916 0.594 -2.773
Sn -2.226 -11.730 -0.583
Sn -9.648 -3.333 -6.528
Sn -8.227 3.466 -1.860
Sn -12.244 0.890 -1.290
Cu -9.062 -3.539 5.503
Sn -8.975 -3.782 -1.336
Cd -3.016 -3.471 0.630
Cd -4.455 -8.281 1.429
Cu -4.320 -5.439 -2.784
Cd -4.212 2.160 5.412
Sn -8.915 -6.776 -0.884
Sn -3.738 0.759 -5.955
Cd -0.515 -7.133 -0.738
Cu -5.900 4.891 -8.136
Cu -5.490 -4.566 -10.412
Sn -4.756 4.016 -5.137
Sn -9.905 -4.313 3.122
Sn -4.728 3.222 -1.949
Sn -6.905 -3.918 2.999
Sn -9.063 7.596 -4.065
Sn -5.169 -3.283 -8.125
Sn -5.727 -4.148 -0.060
Sn -2.699 -0.633 0.988
Sn -1.398 -4.444 -1.543
Sn -3.995 -0.221 3.695
Sn -3.866 3.233 -8.440
Cu -7.608 -5.603 1.090
```

***

# 2
Crystalline Y3Zn2Pd at its relaxed geometry, computed with PBE-GGA.

Results
symmetry = P4/mmm (123)
total DFT energy (no corrections) = -5.065 eV per atom
formation energy = -543 meV per atom
total moment = 0.0 μB per cell

Structure (extended XYZ):
```
6
Lattice="-2.329 -0.533 2.663 1.299 -3.299 0.476 7.024 3.762 6.896" Properties=species:S:1:pos:R:3 pbc="T T T"
Y 2.370 1.269 2.326
Zn 5.349 1.224 7.326
Pd 2.997 -0.035 5.018
Y 0.000 0.000 0.000
Y 4.655 2.493 4.570
Zn 0.646 -1.294 2.709
```

***

# 3
Crystalline RbVAsOs2 at its relaxed geometry, computed with PBE-GGA.

Results
symmetry = P4/mmm (123)
total DFT energy (no corrections) = -5.641 eV per atom
formation energy = 1798 meV per atom
total moment = 0.3 μB per cell

Structure (extended XYZ):
```
5
Lattice="-1.167 4.151 1.512 -4.817 -1.841 1.336 1.564 -1.074 4.157" Properties=species:S:1:pos:R:3 pbc="T T T"
Os -0.584 2.076 0.756
Rb -2.409 -0.921 0.668
As -2.211 0.618 3.503
Os 0.782 -0.537 2.079
V 0.000 0.000 0.000
```

***

# 4
Crystalline LiGe2Pt2 at its relaxed geometry, computed with PBE-GGA.

Results
symmetry = I4/mmm (139)
total DFT energy (no corrections) = -5.098 eV per atom
formation energy = -452 meV per atom
total moment = 0.0 μB per cell

Structure (extended XYZ):
```
5
Lattice="-2.667 -2.656 1.672 3.127 -2.432 1.125 0.568 0.040 6.043" Properties=species:S:1:pos:R:3 pbc="T T T"
Pt -0.934 -2.579 4.557
Pt 1.963 -2.468 4.283
Ge 0.721 -3.095 6.377
Ge 0.308 -1.952 2.463
Li 0.000 0.000 0.000
```

***

# 5
Crystalline AgHgTe2 at its relaxed geometry, computed with PBE-GGA.

Results
symmetry = Cmmm (65)
total DFT energy (no corrections) = -2.160 eV per atom
formation energy without anion corrections = 77 kJ/mol of formula units
total moment = 0.0 μB per cell

Structure (extended XYZ):
```
4
Lattice="5.247 -0.082 0.000 -1.745 4.948 0.000 0.000 0.000 4.180" Properties=species:S:1:pos:R:3 pbc="T T T"
Hg -0.873 2.474 2.090
Ag 2.623 -0.041 2.090
Te 0.000 0.000 0.000
Te 1.751 2.433 0.000
```

***

# 6
Crystalline AuSO at its relaxed geometry, computed with PBE-GGA.

Results
symmetry = C2/m (12)
total DFT energy (no corrections) = -3.787 eV per atom
formation energy without anion corrections = 97 kJ/mol of formula units
total moment = 0.0 μB per cell

Structure (extended XYZ):
```
6
Lattice="-3.318 -0.895 -0.043 1.751 -0.070 3.761 -2.026 7.497 0.182" Properties=species:S:1:pos:R:3 pbc="T T T"
Au -1.658 6.094 1.059
S -2.826 3.832 0.881
O -0.206 0.707 1.173
O -3.387 5.823 2.727
S -0.767 2.699 3.019
Au -1.934 0.437 2.841
```

***

# 7
Crystalline Cu3HCl9 at its relaxed geometry, computed with PBE-GGA.

Results
symmetry = Cc (9)
total DFT energy (no corrections) = -2.848 eV per atom
total moment = 1.7 μB per cell

Structure (extended XYZ):
```
26
Lattice="-2.162 -9.392 0.328 6.914 -6.379 4.676 -5.071 -3.529 7.282" Properties=species:S:1:pos:R:3 pbc="T T T"
Cl -5.449 -9.798 7.037
Cl -3.632 -12.599 7.338
Cu -1.423 -13.108 7.509
Cu 0.335 -18.032 11.188
Cu -3.323 -10.357 7.572
Cl -2.186 -8.217 1.352
Cl -1.145 -10.926 7.705
Cl -0.938 -11.082 2.289
Cl 0.628 -13.236 8.169
Cl 1.584 -10.551 10.431
Cl 1.153 -8.573 5.642
H -3.048 -5.781 3.479
Cl -2.644 -8.295 7.530
Cl 1.265 -7.094 2.927
Cl 3.027 -11.115 6.276
H -1.405 -7.599 9.348
Cu 3.318 -8.965 6.171
Cl -1.387 -3.018 1.623
Cl 0.947 -4.366 4.410
Cu -0.686 -0.952 1.279
Cl 4.016 -6.835 5.784
Cl 0.403 -5.931 7.078
Cl 2.191 -12.788 3.276
Cl -2.711 -6.627 4.414
Cl 3.039 -8.341 8.777
Cu 0.940 -6.451 4.978
```

***

# 8
Crystalline AcNd2Y2Tm2 at its relaxed geometry, computed with PBE-GGA.

Results
symmetry = C2/m (12)
total DFT energy (no corrections) = -5.033 eV per atom
formation energy = 40 meV per atom
total moment = 0.0 μB per cell

Structure (extended XYZ):
```
7
Lattice="-2.230 -1.923 -4.239 -1.362 -3.118 5.274 -5.897 5.626 0.550" Properties=species:S:1:pos:R:3 pbc="T T T"
Y -6.416 2.439 2.269
Ac 0.000 0.000 0.000
Tm -6.221 -0.692 0.445
Y -3.074 -1.854 -0.684
Nd -3.833 -1.831 2.848
Tm -3.268 1.277 1.140
Nd -5.656 2.416 -1.263
```

***

# 9
Crystalline YZnCu2 at its relaxed geometry, computed with PBE-GGA.

Results
symmetry = Pmm2 (25)
total DFT energy (no corrections) = -4.090 eV per atom
formation energy = -107 meV per atom
total moment = 0.0 μB per cell

Structure (extended XYZ):
```
4
Lattice="-1.422 1.454 2.504 -2.538 0.769 -1.888 -2.892 -5.598 1.608" Properties=species:S:1:pos:R:3 pbc="T T T"
Cu -0.018 -0.035 0.010
Y -1.405 -2.720 0.781
Zn -4.322 -3.422 1.610
Cu -2.553 0.002 0.627
```

***

# 10
Crystalline Sm2LuCu at its relaxed geometry, computed with PBE-GGA.

Results
symmetry = P4/mmm (123)
total DFT energy (no corrections) = -4.564 eV per atom
formation energy = -50 meV per atom
total moment = 0.0 μB per cell

Structure (extended XYZ):
```
4
Lattice="-3.320 -1.310 -0.006 0.912 -2.324 2.550 -2.239 5.645 5.945" Properties=species:S:1:pos:R:3 pbc="T T T"
Lu -2.323 1.006 4.244
Sm -0.460 1.160 1.221
Cu -1.204 -1.817 1.272
Sm -1.779 4.485 4.723
```

***

# 11
Crystalline TiReN3 at its relaxed geometry, computed with PBE-GGA.

Results
symmetry = P2_1/c (14)
total DFT energy (no corrections) = -9.543 eV per atom
formation energy without anion corrections = -231 kJ/mol of formula units
total moment = 0.0 μB per cell

Structure (extended XYZ):
```
20
Lattice="19.080 0.000 0.945 0.000 6.733 0.000 -6.413 0.000 1.913" Properties=species:S:1:pos:R:3 pbc="T T T"
Ti 6.123 5.574 2.227
N 8.225 5.014 2.017
Re 10.508 0.839 0.559
N 8.524 1.089 0.564
Re 2.159 5.894 2.299
N 12.729 0.715 0.685
Ti 6.544 1.159 0.631
Re 14.906 4.205 1.815
Re -2.238 2.528 1.043
Ti -0.211 4.525 0.798
N -2.190 4.456 0.865
N 12.685 4.081 1.690
N 10.776 1.648 2.270
N 4.144 5.644 2.294
N -0.017 2.652 1.168
N 4.443 1.719 0.841
N 1.891 5.085 0.588
Ti 12.878 2.208 2.060
N 14.857 2.277 1.993
N -0.062 6.018 2.173
```

***

# 12
Crystalline PrEr14Sc at its relaxed geometry, computed with PBE-GGA.

Results
symmetry = Amm2 (38)
total DFT energy (no corrections) = -4.674 eV per atom
formation energy = 13 meV per atom
total moment = 0.0 μB per cell

Structure (extended XYZ):
```
16
Lattice="-4.272 -4.785 -2.919 6.985 -0.916 -0.198 -0.455 -5.594 9.837" Properties=species:S:1:pos:R:3 pbc="T T T"
Er 0.884 -3.013 -1.673
Er 0.516 -6.170 -0.221
Er 2.662 -3.777 1.272
Er -3.214 -8.520 4.835
Pr -1.226 -6.457 2.791
Er -0.850 -3.300 1.348
Er 2.286 -6.914 2.694
Er -1.077 -6.093 6.261
Er 3.024 -0.626 -0.216
Er 0.925 -4.053 4.257
Er -2.983 -5.681 -0.158
Er 2.437 -6.542 6.135
Sc 4.416 -4.518 4.155
Er 4.375 -3.465 -1.768
Er 0.289 -8.964 4.692
Er 6.505 -1.081 -0.314
```

***

# 13
Crystalline BePbN2F at its relaxed geometry, computed with PBE-GGA.

Results
symmetry = P4/mmm (123)
total DFT energy (no corrections) = -5.104 eV per atom
formation energy without anion corrections = 42 kJ/mol of formula units
total moment = 0.6 μB per cell

Structure (extended XYZ):
```
5
Lattice="3.520 0.000 0.000 0.000 3.520 0.000 0.000 0.000 4.729" Properties=species:S:1:pos:R:3 pbc="T T T"
N 1.760 0.000 0.000
N 0.000 1.760 0.000
Pb 1.760 1.760 2.365
F 0.000 0.000 2.365
Be 0.000 0.000 0.000
```

***

# 14
Crystalline PrSn4Rh6 at its relaxed geometry, computed with PBE-GGA.

Results
symmetry = P-6m2 (187)
total DFT energy (no corrections) = -6.453 eV per atom
formation energy = -553 meV per atom
total moment = 0.0 μB per cell

Structure (extended XYZ):
```
11
Lattice="4.088 0.000 0.000 0.000 6.614 -3.818 0.000 0.000 7.637" Properties=species:S:1:pos:R:3 pbc="T T T"
Sn 2.044 5.315 1.569
Rh 2.044 1.335 5.324
Sn 2.044 5.315 -1.569
Rh 0.000 3.529 1.525
Rh 0.000 3.529 -1.525
Rh 2.044 1.335 2.313
Rh 0.000 6.170 0.000
Pr 0.000 0.000 0.000
Rh 2.044 3.944 3.818
Sn 0.000 2.205 3.818
Sn 2.044 2.598 0.000
```

***

# 15
Crystalline SmCd3 at its relaxed geometry, computed with PBE-GGA.

Results
symmetry = I4/mmm (139)
total DFT energy (no corrections) = -2.161 eV per atom
formation energy = -295 meV per atom
total moment = 0.0 μB per cell

Structure (extended XYZ):
```
4
Lattice="-4.494 0.916 2.326 -2.191 -3.747 -2.757 4.188 -0.973 2.790" Properties=species:S:1:pos:R:3 pbc="T T T"
Cd -1.825 -0.736 2.450
Sm 0.000 0.000 0.000
Cd -0.673 -3.068 -0.092
Cd -3.343 -1.415 -0.216
```

***

# 16
Crystalline Rb2SbI7 at its relaxed geometry, computed with PBE-GGA.

Results
symmetry = I4/mmm (139)
total DFT energy (no corrections) = -2.347 eV per atom
formation energy without anion corrections = -633 kJ/mol of formula units
total moment = 0.0 μB per cell

Structure (extended XYZ):
```
10
Lattice="-2.017 1.387 8.376 4.923 -6.823 2.315 6.798 1.347 5.959" Properties=species:S:1:pos:R:3 pbc="T T T"
I 0.756 -1.413 2.779
Sb 1.453 -2.718 5.345
I 5.875 -3.179 11.032
Rb 6.587 -4.097 6.810
Rb 3.118 0.008 9.840
I 0.000 0.000 0.000
I 3.119 -4.688 3.891
I 3.830 -0.910 5.618
I 2.151 -4.023 7.911
I -0.212 -0.748 6.800
```

***

# 17
Crystalline TbDy2Mg at its relaxed geometry, computed with PBE-GGA.

Results
symmetry = P4/mmm (123)
total DFT energy (no corrections) = -3.885 eV per atom
formation energy = -27 meV per atom
total moment = 0.0 μB per cell

Structure (extended XYZ):
```
4
Lattice="3.587 0.000 0.000 0.000 3.587 0.000 0.000 0.000 9.209" Properties=species:S:1:pos:R:3 pbc="T T T"
Dy 0.000 0.000 2.155
Tb 1.793 1.793 4.605
Dy 0.000 0.000 7.054
Mg 1.793 1.793 0.000
```

***

# 18
Crystalline MgTaAs2 at its relaxed geometry, computed with PBE-GGA.

Results
symmetry = P2/m (10)
total DFT energy (no corrections) = -6.007 eV per atom
formation energy = -320 meV per atom
total moment = 0.0 μB per cell

Structure (extended XYZ):
```
4
Lattice="3.362 0.000 0.000 0.000 3.368 -0.029 0.000 2.778 6.386" Properties=species:S:1:pos:R:3 pbc="T T T"
Ta 1.681 4.610 4.767
Mg 1.681 1.537 1.589
As 0.000 2.942 3.362
As 0.000 2.910 6.201
```

***

# 19
Crystalline ReAg2Pt at its relaxed geometry, computed with PBE-GGA.

Results
symmetry = Cmmm (65)
total DFT energy (no corrections) = -5.523 eV per atom
formation energy = 525 meV per atom
total moment = 0.0 μB per cell

Structure (extended XYZ):
```
4
Lattice="-1.234 4.977 1.140 -1.964 -2.087 -4.403 -2.158 -0.848 1.364" Properties=species:S:1:pos:R:3 pbc="T T T"
Ag 0.000 0.000 0.000
Pt -1.696 2.065 1.252
Ag -1.599 1.445 -1.631
Re -2.061 -1.467 -1.519
```

***

# 20
Crystalline TiIn2PbF at its relaxed geometry, computed with PBE-GGA.

Results
symmetry = P4/mmm (123)
total DFT energy (no corrections) = -4.021 eV per atom
formation energy without anion corrections = -111 kJ/mol of formula units
total moment = 0.0 μB per cell

Structure (extended XYZ):
```
5
Lattice="4.771 0.000 0.000 0.000 4.972 0.000 0.000 0.000 4.771" Properties=species:S:1:pos:R:3 pbc="T T T"
Pb 0.000 2.486 0.000
F 0.000 0.000 0.000
In 2.385 0.000 0.000
In 0.000 0.000 2.385
Ti 2.385 2.486 2.385
```